{
  "formula": "DyHo4Cu",
  "functional": "PBE",
  "state": "optimized geometry",
  "e_form_ev_per_atom": -0.06,
  "lattice_angstrom": [[3.485, 0.000, 0.000], [0.000, 3.485, 0.000], [0.000, 0.000, 13.677]],
  "species": ["Dy", "Ho", "Ho", "Ho", "Ho", "Cu"],
  "frac_coords": [[0.000, 0.000, 0.000], [0.000, 0.000, 0.375], [0.000, 0.000, 0.625], [0.500, 0.500, 0.184], [0.500, 0.500, 0.816], [0.500, 0.500, 0.500]]
}


{
  "formula": "Y2Cd12Ag",
  "functional": "PBE",
  "state": "optimized geometry",
  "e_form_ev_per_atom": -0.07,
  "lattice_angstrom": [[6.211, 0.000, 0.000], [0.000, 6.211, 0.000], [0.000, 0.000, 18.941]],
  "species": ["Y", "Y", "Y", "Y", "Cd", "Cd", "Cd", "Cd", "Cd", "Cd", "Cd", "Cd", "Cd", "Cd", "Cd", "Cd", "Cd", "Cd", "Cd", "Cd", "Cd", "Cd", "Cd", "Cd", "Cd", "Cd", "Cd", "Cd", "Ag", "Ag"],
  "frac_coords": [[0.250, 0.750, 0.247], [0.250, 0.750, 0.753], [0.750, 0.250, 0.247], [0.750, 0.250, 0.753], [0.000, 0.000, 0.406], [0.000, 0.000, 0.594], [0.000, 0.500, 0.406], [0.000, 0.500, 0.594], [0.081, 0.581, 0.068], [0.081, 0.919, 0.932], [0.250, 0.250, 0.163], [0.250, 0.250, 0.306], [0.250, 0.250, 0.694], [0.250, 0.250, 0.837], [0.419, 0.581, 0.932], [0.419, 0.919, 0.068], [0.500, 0.000, 0.406], [0.500, 0.000, 0.594], [0.500, 0.500, 0.406], [0.500, 0.500, 0.594], [0.581, 0.081, 0.932], [0.581, 0.419, 0.068], [0.750, 0.750, 0.163], [0.750, 0.750, 0.306], [0.750, 0.750, 0.694], [0.750, 0.750, 0.837], [0.919, 0.081, 0.068], [0.919, 0.419, 0.932], [0.250, 0.750, 0.500], [0.750, 0.250, 0.500]]
}


{
  "formula": "Tb5Pm5Sb6",
  "functional": "PBE",
  "state": "optimized geometry",
  "raw_formation_energy_ev_per_atom": -0.95,
  "lattice_angstrom": [[6.393, 0.000, 0.000], [0.000, 7.958, 4.570], [0.000, -7.958, 4.570]],
  "species": ["Tb", "Tb", "Tb", "Tb", "Tb", "Pm", "Pm", "Pm", "Pm", "Pm", "Sb", "Sb", "Sb", "Sb", "Sb", "Sb"],
  "frac_coords": [[0.000, 0.000, 0.000], [0.000, 0.244, 0.494], [0.000, 0.494, 0.244], [0.500, 0.246, 0.996], [0.500, 0.996, 0.246], [0.250, 0.579, 0.911], [0.250, 0.911, 0.579], [0.500, 0.491, 0.491], [0.750, 0.579, 0.911], [0.750, 0.911, 0.579], [0.000, 0.245, 0.861], [0.000, 0.629, 0.629], [0.000, 0.861, 0.245], [0.500, 0.242, 0.630], [0.500, 0.630, 0.242], [0.500, 0.863, 0.863]]
}


{
  "formula": "MoOsAu2",
  "functional": "PBE",
  "state": "optimized geometry",
  "polymorph_energy_mev_per_atom": 218.5,
  "e_form_ev_per_atom": 0.39,
  "lattice_angstrom": [[4.014, 0.000, 0.000], [0.000, 4.014, 0.000], [0.000, 0.000, 8.014]],
  "species": ["Mo", "Mo", "Os", "Os", "Au", "Au", "Au", "Au"],
  "frac_coords": [[0.000, 0.000, 0.000], [0.500, 0.500, 0.500], [0.000, 0.500, 0.750], [0.500, 0.000, 0.250], [0.000, 0.000, 0.500], [0.000, 0.500, 0.250], [0.500, 0.000, 0.750], [0.500, 0.500, 0.000]]
}


{
  "formula": "AgAs2Se",
  "functional": "PBE",
  "state": "optimized geometry",
  "raw_formation_energy_ev_per_atom": 0.16,
  "lattice_angstrom": [[7.670, 0.000, 0.000], [0.000, 7.675, 0.000], [-0.076, 0.000, 2.846]],
  "species": ["Ag", "Ag", "As", "As", "As", "As", "Se", "Se"],
  "frac_coords": [[0.000, 0.000, 0.000], [0.500, 0.500, 0.000], [0.250, 0.250, 0.000], [0.250, 0.750, 0.000], [0.750, 0.250, 0.000], [0.750, 0.750, 0.000], [0.000, 0.500, 0.000], [0.500, 0.000, 0.000]]
}


{
  "formula": "Ba2Zn2Cu3",
  "functional": "PBE",
  "state": "optimized geometry",
  "e_form_ev_per_atom": -0.02,
  "lattice_angstrom": [[10.692, 0.000, 0.000], [0.000, 4.730, 0.000], [-1.832, 0.000, 6.574]],
  "species": ["Ba", "Ba", "Ba", "Ba", "Zn", "Zn", "Zn", "Zn", "Cu", "Cu", "Cu", "Cu", "Cu", "Cu"],
  "frac_coords": [[0.133, 0.000, 0.303], [0.367, 0.500, 0.697], [0.633, 0.500, 0.303], [0.867, 0.000, 0.697], [0.190, 0.000, 0.855], [0.310, 0.500, 0.145], [0.690, 0.500, 0.855], [0.810, 0.000, 0.145], [0.000, 0.500, 0.500], [0.087, 0.500, 0.884], [0.413, 0.000, 0.116], [0.500, 0.000, 0.500], [0.587, 0.000, 0.884], [0.913, 0.500, 0.116]]
}


{
  "formula": "Ca2Sb2Rh",
  "functional": "PBE",
  "state": "optimized geometry",
  "raw_formation_energy_ev_per_atom": -0.84,
  "lattice_angstrom": [[5.542, -2.322, 0.000], [5.542, 2.322, 0.000], [-5.029, 0.000, 9.874]],
  "species": ["Ca", "Ca", "Ca", "Ca", "Sb", "Sb", "Sb", "Sb", "Rh", "Rh"],
  "frac_coords": [[0.005, 0.005, 0.336], [0.183, 0.183, 0.115], [0.817, 0.817, 0.885], [0.995, 0.995, 0.664], [0.343, 0.343, 0.440], [0.482, 0.482, 0.128], [0.518, 0.518, 0.872], [0.657, 0.657, 0.560], [0.278, 0.278, 0.651], [0.722, 0.722, 0.349]]
}


{
  "formula": "SrSbW",
  "functional": "PBE",
  "state": "optimized geometry",
  "polymorph_energy_mev_per_atom": 147.4,
  "raw_formation_energy_ev_per_atom": 0.53,
  "lattice_angstrom": [[4.631, 0.000, 0.000], [-2.316, 4.011, 0.000], [0.000, 0.000, 4.576]],
  "species": ["Sr", "Sb", "W"],
  "frac_coords": [[0.000, 0.000, 0.000], [0.333, 0.667, 0.500], [0.667, 0.333, 0.500]]
}